Record 1
Entry from OQMD via LeMat-Bulk: crystalline CoSn2Pd at its relaxed geometry (PBE).

a = 4.695 Å, b = 4.695 Å, c = 4.695 Å
α = 60.00°, β = 60.00°, γ = 60.00°
Positions (direct):
Pd  0.500  0.500  0.500
Sn  0.000  0.000  0.000
Sn  0.750  0.750  0.750
Co  0.250  0.250  0.250

DFT total energy = -19.252 eV/f.u.

---

Record 2
Entry from OQMD via LeMat-Bulk: crystalline CoSnPd2 at its relaxed geometry (PBE).

a = 4.430 Å, b = 4.430 Å, c = 4.430 Å
α = 60.00°, β = 60.00°, γ = 60.00°
Last column: magnetic moment on the atom in μB.
Positions (direct):
Pd  0.750  0.750  0.750  0.02
Co  0.250  0.250  0.250  1.27
Sn  0.500  0.500  0.500  -0.05
Pd  0.000  0.000  0.000  0.04

DFT total energy = -22.141 eV/f.u.